## Hf2Be16H (PBE-GGA)

Data for a relaxed structure of Hf2Be16H.

abc: 5.637 5.637 5.637
angles: 83.39 83.39 83.39
Fractional positions:
Hf (0.666, 0.666, 0.666)
Hf (0.342, 0.342, 0.342)
Be (0.711, 0.005, 0.299)
Be (0.005, 0.299, 0.711)
Be (0.299, 0.711, 0.005)
Be (0.005, 0.711, 0.299)
Be (0.711, 0.299, 0.005)
Be (0.299, 0.005, 0.711)
Be (0.345, 0.845, 0.345)
Be (0.845, 0.345, 0.345)
Be (0.345, 0.345, 0.845)
Be (0.660, 0.162, 0.660)
Be (0.162, 0.660, 0.660)
Be (0.660, 0.660, 0.162)
Be (0.003, 0.505, 0.003)
Be (0.505, 0.003, 0.003)
Be (0.003, 0.003, 0.505)
Be (0.093, 0.093, 0.093)
H (0.843, 0.843, 0.843)

Output
Symmetry ... No. 160
Uncorrected energy ... -85.2 eV/cell
V ... 9.252 Å³ per atom
DOS(E_F) ... 3.535 states/eV/cell

## PuZrTcPd (PBE-GGA)

Data for a relaxed structure of PuZrTcPd.

abc: 4.774 4.774 4.774
angles: 60.00 60.00 60.00
Each line ends with the local moment (μB).
Fractional positions:
Zr (0.750, 0.750, 0.750)  0.12
Tc (0.500, 0.500, 0.500)  -0.50
Pd (0.000, 0.000, 0.000)  -0.07
Pu (0.250, 0.250, 0.250)  4.92

Output
Symmetry ... No. 216
Uncorrected energy ... -39.5 eV/cell
V ... 19.229 Å³ per atom
Energy of formation from the pure elements ... -268 meV/atom
DOS(E_F) ... 6.889 states/eV/cell

## LiSb2SeN (PBE-GGA)

Data for a relaxed structure of LiSb2SeN.

abc: 5.431 4.393 5.431
angles: 90.00 90.00 90.00
Fractional positions:
Sb (0.000, 0.000, 0.500)
Sb (0.500, 0.000, 0.000)
Li (0.000, 0.500, 0.000)
Se (0.000, 0.000, 0.000)
N (0.500, 0.500, 0.500)

Output
Formation energy from raw total energies ... 1218 meV per atom
Symmetry ... No. 123
Uncorrected energy ... -15.9 eV/cell
V ... 25.917 Å³ per atom
DOS(E_F) ... 3.534 states/eV/cell